1.
DFT (PBE) results for an optimized crystal structure of CaAgBi2Se4.

POSCAR file:
```
CaAgBi2Se4
1.0
6.0328 0.0030 0.0000
-0.0031 6.0328 0.0000
-3.0148 -3.0179 5.9290
Ca Ag Bi Se
1 1 2 4
Direct
0.5000 0.5000 0.0000 Ca
0.7500 0.2500 0.5000 Ag
0.2500 0.7500 0.5000 Bi
0.0000 0.0000 0.0000 Bi
0.0014 0.5014 0.0028 Se
0.4986 0.9986 0.9972 Se
0.7534 0.7534 0.5067 Se
0.2466 0.2466 0.4933 Se
```

Computed properties:
- Space group: I-4m2
- Crystal system: tetragonal
- Energy relative to the elements, uncorrected: -0.64 eV per atom

2.
DFT (PBE) results for an optimized crystal structure of Ca2PPb.

POSCAR file:
```
Ca2PPb
1.0
0.0000 3.7484 3.7484
3.7484 0.0000 3.7484
3.7484 3.7484 0.0000
Pb P Ca
1 1 2
Direct
0.5000 0.5000 0.5000 Pb
0.0000 0.0000 0.0000 P
0.2500 0.2500 0.2500 Ca
0.7500 0.7500 0.7500 Ca
```

Computed properties:
- Space group: Fm-3m
- Energy above the most stable polymorph in this dataset: 210 meV/atom
- Crystal system: cubic

3.
DFT (PBE) results for an optimized crystal structure of SrPmTe3Au.

POSCAR file:
```
SrPmTe3Au
1.0
4.4333 0.0000 0.0000
0.0000 8.8673 -0.0317
0.0000 -2.3785 10.0282
Sr Pm Te Au
2 2 6 2
Direct
0.2500 0.2015 0.2679 Sr
0.7500 0.7985 0.7321 Sr
0.2500 0.6824 0.1707 Pm
0.7500 0.3176 0.8293 Pm
0.7500 0.9234 0.1383 Te
0.2500 0.0766 0.8617 Te
0.2500 0.7385 0.4791 Te
0.7500 0.2615 0.5209 Te
0.7500 0.4239 0.1517 Te
0.2500 0.5761 0.8483 Te
0.2500 0.0912 0.5929 Au
0.7500 0.9088 0.4071 Au
```

Computed properties:
- Space group: P2_1/m
- Crystal system: monoclinic
- Energy relative to the elements, uncorrected: -1.20 eV per atom

no.,volume (Å³ per cell),DFT total energy (eV per atom)
1,215.8,-3.96
2,105.3,-3.76
3,393.9,-4.39